Record 1
A relaxed structure of BaNdHg2. Source: Alexandria, functional PBE.

```
4
Lattice="-3.150 -2.177 -1.846 0.610 -1.814 -3.795 2.047 -9.038 2.270" Properties=species:S:1:pos:R:3 pbc="T T T"
Ba -0.249 -6.506 -1.690
Nd -1.688 -2.673 -3.754
Hg 1.400 -7.314 1.342
Hg -0.201 -3.049 -0.955
```

Values from the calculation:
Space-group type: R3m, No. 160


Record 2
A relaxed structure of BaNd2Hg. Source: Alexandria, functional PBE.

```
4
Lattice="3.803 0.000 0.000 1.901 3.293 0.000 1.901 1.098 12.185" Properties=species:S:1:pos:R:3 pbc="T T T"
Nd 1.901 1.098 8.455
Nd 5.704 3.293 3.730
Hg 3.803 2.195 6.092
Ba 0.000 0.000 0.000
```

Values from the calculation:
Space-group type: R-3m, No. 166
ΔE to the lowest computed polymorph (eV per atom): 0.171


Record 3
A relaxed structure of BaNd2Hg. Source: Alexandria, functional PBE.

```
4
Lattice="3.903 0.000 0.000 0.000 3.903 0.000 0.000 0.000 9.748" Properties=species:S:1:pos:R:3 pbc="T T T"
Nd 0.000 0.000 7.947
Nd 0.000 0.000 1.801
Hg 1.951 1.951 0.000
Ba 1.951 1.951 4.874
```

Values from the calculation:
Space-group type: P4/mmm, No. 123
ΔE to the lowest computed polymorph (eV per atom): 0.000


Record 4
A relaxed structure of BaNdHg6. Source: Alexandria, functional PBE.

```
8
Lattice="-1.849 2.720 4.054 -5.253 -4.655 0.728 6.093 -0.964 3.427" Properties=species:S:1:pos:R:3 pbc="T T T"
Ba 0.474 -1.131 4.337
Nd 5.106 -1.285 3.192
Hg 2.165 -0.616 1.401
Hg 2.629 -3.717 3.694
Hg -0.672 -3.165 1.817
Hg -2.580 -0.657 2.625
Hg -2.162 -3.457 4.695
Hg -5.295 -3.008 2.965
```

Values from the calculation:
Space-group type: Amm2, No. 38


Record 5
A relaxed structure of Ba5NdHg6. Source: Alexandria, functional PBE.

```
12
Lattice="-4.394 -3.701 -1.001 3.426 -5.477 5.207 -6.717 1.657 6.163" Properties=species:S:1:pos:R:3 pbc="T T T"
Nd 0.000 0.000 0.000
Ba -5.679 -4.110 6.024
Ba -3.723 -0.669 1.747
Ba 1.713 -2.738 2.603
Ba -7.387 -1.375 3.414
Ba -2.006 -3.410 4.344
Hg -3.199 -6.780 5.055
Hg -4.997 -3.904 2.322
Hg -8.143 -1.426 6.833
Hg 0.458 -6.095 3.535
Hg -2.687 -3.616 8.046
Hg -4.486 -0.741 5.313
```

Values from the calculation:
Space-group type: P2/m, No. 10


Record 6
A relaxed structure of BaNdHg4. Source: Alexandria, functional PBE.

```
6
Lattice="-2.743 -5.315 -1.720 -1.180 -4.405 4.235 -5.866 -1.173 1.718" Properties=species:S:1:pos:R:3 pbc="T T T"
Nd -2.447 -2.723 1.058
Hg -3.194 -6.218 1.788
Hg -5.524 -4.610 0.536
Hg -6.111 -6.802 2.643
Hg -4.747 -4.158 3.499
Ba 0.000 0.000 0.000
```

Values from the calculation:
Space-group type: F-43m, No. 216
ΔE to the lowest computed polymorph (eV per atom): 0.153


Record 7
A relaxed structure of BaNdHg4. Source: Alexandria, functional PBE.

```
6
Lattice="-2.459 1.908 -1.935 -3.634 -3.501 1.165 -2.170 4.721 7.414" Properties=species:S:1:pos:R:3 pbc="T T T"
Ba -6.429 4.877 6.048
Nd -7.161 0.766 2.923
Hg -5.231 -1.711 1.499
Hg -6.631 1.334 6.282
Hg -4.460 2.313 4.487
Hg -3.769 0.811 2.130
```

Values from the calculation:
Space-group type: Pmmm, No. 47
ΔE to the lowest computed polymorph (eV per atom): 0.000


Record 8
A relaxed structure of BaNd2Hg3. Source: Alexandria, functional PBE.

```
6
Lattice="-3.181 -0.933 -2.079 2.137 -2.458 -2.168 -2.439 -8.952 7.746" Properties=species:S:1:pos:R:3 pbc="T T T"
Ba -1.741 -6.171 1.750
Nd -2.577 -9.241 4.406
Nd -0.905 -3.102 -0.907
Hg 0.000 0.000 0.000
Hg -1.697 -6.228 5.389
Hg -0.742 -2.724 2.357
```

Values from the calculation:
Space-group type: P4/mmm, No. 123


Record 9
A relaxed structure of BaNdHg17. Source: Alexandria, functional PBE.

```
19
Lattice="8.146 0.566 1.594 1.417 8.042 1.594 0.629 0.566 8.277" Properties=species:S:1:pos:R:3 pbc="T T T"
Ba 6.542 5.888 7.359
Nd 3.320 2.989 3.735
Hg 2.923 0.608 6.247
Hg 6.097 2.843 1.637
Hg 1.219 5.765 3.635
Hg 3.467 5.765 1.637
Hg 0.911 2.843 6.247
Hg 5.861 0.608 3.635
Hg 4.330 7.732 4.871
Hg 3.883 3.495 8.659
Hg 8.144 3.495 4.871
Hg 5.497 2.526 6.184
Hg 5.779 5.202 3.791
Hg 3.088 5.202 6.184
Hg 9.056 5.690 10.188
Hg 9.343 8.410 7.757
Hg 6.609 8.410 10.188
Hg 9.608 8.648 10.808
Hg 1.147 1.032 1.290
```

Values from the calculation:
Space-group type: R3m, No. 160


Record 10
A relaxed structure of BaNd2HgO5. Source: Alexandria, functional PBE.

```
18
Lattice="6.374 0.000 0.000 0.000 6.866 0.000 0.000 0.000 6.866" Properties=species:S:1:pos:R:3 pbc="T T T"
Ba 0.000 3.433 3.433
Ba 0.000 0.000 0.000
Nd 3.187 4.617 1.184
Nd 3.187 1.184 2.249
Nd 3.187 5.682 4.617
Nd 3.187 2.249 5.682
Hg 0.000 0.000 3.433
Hg 0.000 3.433 0.000
O 3.187 3.433 3.433
O 3.187 0.000 0.000
O 1.675 1.037 4.470
O 1.675 5.829 2.396
O 1.675 2.396 1.037
O 1.675 4.470 5.829
O 4.699 1.037 4.470
O 4.699 4.470 5.829
O 4.699 5.829 2.396
O 4.699 2.396 1.037
```

Values from the calculation:
Space-group type: P4/mbm, No. 127
Uncorrected formation energy (eV per formula unit): -21.34


Record 11
A relaxed structure of BaNdHgPb. Source: Alexandria, functional PBE.

```
4
Lattice="5.764 0.000 0.000 2.882 4.992 0.000 2.882 1.664 4.706" Properties=species:S:1:pos:R:3 pbc="T T T"
Pb 0.000 0.000 0.000
Nd 8.646 4.992 3.530
Hg 5.764 3.328 2.353
Ba 2.882 1.664 1.177
```

Values from the calculation:
Space-group type: F-43m, No. 216


Record 12
A relaxed structure of BaNdHgPd. Source: Alexandria, functional PBE.

```
4
Lattice="5.493 0.000 0.000 2.747 4.757 0.000 2.747 1.586 4.485" Properties=species:S:1:pos:R:3 pbc="T T T"
Nd 8.240 4.757 3.364
Hg 5.493 3.171 2.243
Pd 0.000 0.000 0.000
Ba 2.747 1.586 1.121
```

Values from the calculation:
Space-group type: F-43m, No. 216


Results for uncorrected energy: -2.1417 -2.8867 -3.0580 -1.4392 -1.8419 -1.5893 -1.7418 -2.5375 -0.7773 -6.4319 -3.1084 -3.4442 (in eV/atom, following the order of the records).